Entry 1:
La2CdAg | PBE-GGA | relaxed

It has space group P4mm (No. 99), with a = 3.8974 Å, b = 3.8974 Å, c = 7.6535 Å, α = 90.00°, β = 90.00° and γ = 90.00°. The distinct sites, in fractional coordinates, are La at (0.0000, 0.0000, 0.0000), La at (0.5000, 0.5000, 0.3228), Cd at (0.5000, 0.5000, 0.7529) and Ag at (0.0000, 0.0000, 0.5564).

Its magnetic moment is 0.18 μB per atom.

=====

Entry 2:
LaCd12Ag4 | PBE-GGA | relaxed

It has space group Im-3 (No. 204), with a = 9.6547 Å, b = 9.6547 Å, c = 9.6547 Å, α = 90.00°, β = 90.00° and γ = 90.00°. The distinct sites, in fractional coordinates, are La at (0.0000, 0.0000, 0.0000), Cd at (0.0000, 0.3492, 0.1534) and Ag at (0.2500, 0.2500, 0.2500).

Its magnetic moment is 0.00 μB per atom.

=====

Entry 3:
La2Cd6Ag | PBE-GGA | relaxed

It has space group P-3m1 (No. 164), with a = 6.5523 Å, b = 6.5523 Å, c = 6.1550 Å, α = 90.00°, β = 90.00° and γ = 120.00°. The distinct sites, in fractional coordinates, are La at (0.3333, 0.6667, 0.3270), Cd at (0.1779, 0.3558, 0.8219) and Ag at (0.0000, 0.0000, 0.5000).

Its magnetic moment is 0.00 μB per atom.

=====

In order of appearance, uncorrected energy = -3.566 -1.505 -2.286 eV per atom.
In order of appearance, calculated formation energy = -0.6 1.7 -2.4 eV/f.u..